This record from Alexandria describes crystalline Li2Te2Au at its relaxed geometry. The functional is PBEsol.

Cell: 7.9686 7.9686 3.2083 Å, 90.00 90.00 90.00°
Sites, in units of the cell vectors:
Li1 0.1234 0.3766 0.0000
Li2 0.3766 0.8766 0.0000
Li3 0.6234 0.1234 0.0000
Li4 0.8766 0.6234 0.0000
Te1 0.1819 0.6819 0.5000
Te2 0.3181 0.1819 0.5000
Te3 0.6819 0.8181 0.5000
Te4 0.8181 0.3181 0.5000
Au1 0.0000 0.0000 0.0000
Au2 0.5000 0.5000 0.0000

As for the energy: -3.29 eV per atom. The energy relative to the lowest polymorph listed for this composition is 0.1609 eV per atom.

=====

This record from Alexandria describes crystalline LiTeAu2 at its relaxed geometry. The functional is PBEsol.

Cell: 3.6685 3.6685 5.6019 Å, 90.00 90.00 90.00°
Sites, in units of the cell vectors:
Li1 0.0000 0.0000 0.0000
Te1 0.5000 0.5000 0.7620
Au1 0.0000 0.0000 0.4630
Au2 0.5000 0.5000 0.2531

As for the energy: -3.52 eV per atom.

=====

This record from Alexandria describes crystalline LiTeAu2 at its relaxed geometry. The functional is PBEsol.

Cell: 5.3022 5.3022 5.3022 Å, 135.03 135.03 65.49°
Sites, in units of the cell vectors:
Li1 0.0000 0.0000 0.0000
Te1 0.5000 0.5000 0.0000
Au1 0.2500 0.7500 0.5000
Au2 0.7500 0.2500 0.5000

As for the energy: -3.62 eV per atom.

=====

This record from Alexandria describes crystalline LiTeAu2 at its relaxed geometry. The functional is PBEsol.

Cell: 4.9024 4.9024 4.3883 Å, 107.37 107.37 49.23°
Sites, in units of the cell vectors:
Li1 0.0000 0.0000 0.0000
Te1 0.2439 0.2439 0.7265
Au1 0.4839 0.4839 0.4257
Au2 0.7372 0.7372 0.1936

As for the energy: -3.55 eV per atom.

=====

This record from Alexandria describes crystalline Li2Te2Au at its relaxed geometry. The functional is PBEsol.

Cell: 7.4774 7.4774 4.1890 Å, 90.00 90.00 90.00°
Sites, in units of the cell vectors:
Li1 0.1411 0.3589 0.0000
Li2 0.3589 0.8589 0.0000
Li3 0.6411 0.1411 0.0000
Li4 0.8589 0.6411 0.0000
Te1 0.1724 0.6724 0.5000
Te2 0.3276 0.1724 0.5000
Te3 0.6724 0.8276 0.5000
Te4 0.8276 0.3276 0.5000
Au1 0.0000 0.0000 0.5000
Au2 0.5000 0.5000 0.5000

As for the energy: -3.45 eV per atom. The energy relative to the lowest polymorph listed for this composition is 0.0000 eV per atom.

=====

This record from Alexandria describes crystalline LiThAu2 at its relaxed geometry. The functional is PBEsol.

Cell: 4.9282 4.9282 4.9282 Å, 60.00 60.00 60.00°
Sites, in units of the cell vectors:
Li1 0.0000 0.0000 0.0000
Th1 0.5000 0.5000 0.5000
Au1 0.2500 0.2500 0.2500
Au2 0.7500 0.7500 0.7500

As for the energy: -5.05 eV per atom. Its formation enthalpy at 0 K is -0.57 eV/atom.